# 1
The following is a PBE calculation of crystalline BaLiHf3 at its relaxed geometry, from Alexandria.

Cell: 5.360 5.360 5.360 Å, 90.00 90.00 90.00°
Space group Pm-3m (No. 221)
Symmetry-distinct sites (fractional):
1 Ba 0.000 0.000 0.000 x1
2 Li 0.500 0.500 0.500 x1
3 Hf 0.000 0.000 0.500 x3

Values from the calculation:
E_form = 1974 meV/atom
DOS at the Fermi energy = 7.26 states/eV per cell
total magnetization = 0.00 μB/cell
volume = 154.0 Å³/cell


# 2
The following is a PBE calculation of crystalline BaLiHf3 at its relaxed geometry, from Alexandria.

Cell: 5.031 5.031 5.031 Å, 90.00 90.00 90.00°
Space group Pm-3m (No. 221)
Symmetry-distinct sites (fractional):
1 Ba 0.000 0.000 0.000 x1
2 Li 0.500 0.500 0.500 x1
3 Hf 0.000 0.500 0.500 x3

Values from the calculation:
E_form = 967 meV/atom
DOS at the Fermi energy = 5.79 states/eV per cell
total magnetization = 0.00 μB/cell
volume = 127.4 Å³/cell


# 3
The following is a PBE calculation of crystalline BaLi2Hf at its relaxed geometry, from Alexandria.

Cell: 7.642 7.642 7.642 Å, 90.00 90.00 90.00°
Space group Fm-3m (No. 225)
Symmetry-distinct sites (fractional):
1 Ba 0.000 0.000 0.000 x4
2 Li 0.250 0.250 0.250 x8
3 Hf 0.000 0.000 0.500 x4

Values from the calculation:
E_form = 630 meV/atom
DOS at the Fermi energy = 19.09 states/eV per cell
total magnetization = 4.23 μB/cell
volume = 446.3 Å³/cell


# 4
The following is a PBE calculation of crystalline BaLi2Hf2 at its relaxed geometry, from Alexandria.

Cell: 8.944 8.944 3.198 Å, 90.00 90.00 90.00°
Space group P4/mbm (No. 127)
Symmetry-distinct sites (fractional):
1 Ba 0.000 0.000 0.000 x2
2 Li 0.173 0.327 0.000 x4
3 Hf 0.114 0.614 0.500 x4

Values from the calculation:
E_form = 642 meV/atom
DOS at the Fermi energy = 9.17 states/eV per cell
total magnetization = 2.87 μB/cell
volume = 255.9 Å³/cell